1.
First-principles (PBE) data for a relaxed structure of Cs5Bi2I12, as listed in Alexandria.

For the electronic total energy, the calculation gives -97.92 eV per cell. Its excess energy over the best structure of this formula in the dataset is 0 meV/atom.

The space group is C2/m (No. 12) and the conventional cell measures 21.4519, 8.9362 and 12.6350 Å, with angles of 90.00, 108.56 and 90.00 degrees. The asymmetric unit holds Cs at (0.0000, 0.0000, 0.0000), Cs at (0.1910, 0.5000, 0.3434), Cs at (0.2048, 0.5000, 0.8557), Bi at (0.0000, 0.2503, 0.5000), I at (0.0038, 0.0000, 0.6752), I at (0.0042, 0.5000, 0.6790), I at (0.1452, 0.2763, 0.0695) and I at (0.1511, 0.2533, 0.5740).

2.
First-principles (PBE) data for a relaxed structure of Cs2Bi2I, as listed in Alexandria.

For the electronic total energy, the calculation gives -29.35 eV per cell. Its excess energy over the best structure of this formula in the dataset is 0 meV/atom.

The space group is I4/mmm (No. 139) and the conventional cell measures 4.6020, 4.6020 and 22.7729 Å, with angles of 90.00, 90.00 and 90.00 degrees. The asymmetric unit holds Cs at (0.0000, 0.0000, 0.0998), Bi at (0.0000, 0.5000, 0.2500) and I at (0.0000, 0.0000, 0.5000).

3.
First-principles (PBE) data for a relaxed structure of Cs3Bi5I12, as listed in Alexandria.

For the electronic total energy, the calculation gives -405.82 eV per cell.

The space group is Ia-3d (No. 230) and the conventional cell measures 21.1516, 21.1516 and 21.1516 Å, with angles of 90.00, 90.00 and 90.00 degrees. The asymmetric unit holds Cs at (0.0000, 0.2500, 0.1250), Bi at (0.0000, 0.0000, 0.0000), Bi at (0.0000, 0.2500, 0.3750) and I at (0.0357, 0.0427, 0.6417).

4.
First-principles (PBE) data for a relaxed structure of Cs2BiI4, as listed in Alexandria.

For the electronic total energy, the calculation gives -37.57 eV per cell. Its excess energy over the best structure of this formula in the dataset is 3 meV/atom.

The space group is I-42m (No. 121) and the conventional cell measures 8.9542, 8.9542 and 10.0896 Å, with angles of 90.00, 90.00 and 90.00 degrees. The asymmetric unit holds Cs at (0.0000, 0.5000, 0.2500), Bi at (0.0000, 0.0000, 0.0000) and I at (0.2448, 0.2448, 0.0006).

5.
First-principles (PBE) data for a relaxed structure of CsBi2I, as listed in Alexandria.

For the electronic total energy, the calculation gives -36.05 eV per cell. Its excess energy over the best structure of this formula in the dataset is 619 meV/atom.

The space group is Fm-3m (No. 225) and the conventional cell measures 8.5817, 8.5817 and 8.5817 Å, with angles of 90.00, 90.00 and 90.00 degrees. The asymmetric unit holds Cs at (0.0000, 0.0000, 0.0000), Bi at (0.2500, 0.2500, 0.2500) and I at (0.0000, 0.0000, 0.5000).

6.
First-principles (PBE) data for a relaxed structure of Cs3BiI8, as listed in Alexandria.

For the electronic total energy, the calculation gives -55.56 eV per cell.

The space group is I4/mmm (No. 139) and the conventional cell measures 8.5871, 8.5871 and 17.9864 Å, with angles of 90.00, 90.00 and 90.00 degrees. The asymmetric unit holds Cs at (0.0000, 0.0000, 0.0000), Cs at (0.0000, 0.5000, 0.2500), Bi at (0.0000, 0.0000, 0.5000) and I at (0.2188, 0.2188, 0.3911).